The following is a DFT calculation (GGA+U) of an optimized crystal structure of CdNi2O.

```
data_CdNi2O
_chemical_formula_sum 'Cd4 Ni8 O4'
_cell_length_a 5.893
_cell_length_b 5.893
_cell_length_c 5.893
_cell_angle_alpha 90.00
_cell_angle_beta 90.00
_cell_angle_gamma 90.00
_symmetry_space_group_name_H-M 'F m -3 m'
_symmetry_Int_Tables_number 225
_symmetry_space_group_name_Hall '-F 4 2 3'
loop_
_atom_site_label
_atom_site_type_symbol
_atom_site_fract_x
_atom_site_fract_y
_atom_site_fract_z
Cd1 Cd 0.000 0.000 0.000
Ni1 Ni 0.250 0.250 0.250
O1 O 0.000 0.000 0.500
```

Results
The calculation puts the calculated total energy at -27.688 eV for the cell shown. The value obtained for the density of states at the Fermi level is 1.9666 states/eV per atom. The value obtained for the energy above the most stable polymorph in this dataset is 930 meV/atom.